ScCu | PBE-GGA | relaxed

The value obtained for the formation energy from the elements is -134 meV/atom.

Geometry as CIF:
```
data_ScCu
_space_group_name_H-M_alt 'I m m a'
_space_group_IT_number 74
_space_group_name_Hall '-I 2b 2'
_cell_length_a 3.2181
_cell_length_b 4.4780
_cell_length_c 9.6877
_cell_angle_alpha 90.00
_cell_angle_beta 90.00
_cell_angle_gamma 90.00
loop_
_atom_site_label
_atom_site_type_symbol
_atom_site_fract_x
_atom_site_fract_y
_atom_site_fract_z
Sc1 Sc 0.0000 0.2500 0.1067
Cu1 Cu 0.0000 0.2500 0.6504
```

TiTlTc2 | PBE-GGA | relaxed

The value obtained for the formation energy from the elements is 272 meV/atom.

Geometry as CIF:
```
data_TiTlTc2
_space_group_name_H-M_alt 'F m -3 m'
_space_group_IT_number 225
_space_group_name_Hall '-F 4 2 3'
_cell_length_a 6.4264
_cell_length_b 6.4264
_cell_length_c 6.4264
_cell_angle_alpha 90.00
_cell_angle_beta 90.00
_cell_angle_gamma 90.00
loop_
_atom_site_label
_atom_site_type_symbol
_atom_site_fract_x
_atom_site_fract_y
_atom_site_fract_z
Ti1 Ti 0.0000 0.0000 0.0000
Tl1 Tl 0.0000 0.0000 0.5000
Tc1 Tc 0.2500 0.2500 0.2500
```

SrCuAsH | PBE-GGA | relaxed

Its total energy is -3.990 eV/atom.

Geometry as CIF:
```
data_SrCuAsH
_space_group_name_H-M_alt 'P 3 m 1'
_space_group_IT_number 156
_space_group_name_Hall 'P 3 -2"'
_cell_length_a 4.2172
_cell_length_b 4.2172
_cell_length_c 4.5915
_cell_angle_alpha 90.00
_cell_angle_beta 90.00
_cell_angle_gamma 120.00
loop_
_atom_site_label
_atom_site_type_symbol
_atom_site_fract_x
_atom_site_fract_y
_atom_site_fract_z
Sr1 Sr 0.0000 0.0000 0.0000
Cu1 Cu 0.6667 0.3333 0.5404
As1 As 0.3333 0.6667 0.4672
H1 H 0.6667 0.3333 0.8938
```

Tb2HoLu | PBE-GGA | relaxed

The value obtained for the formation energy from the elements is 23 meV/atom.

Geometry as CIF:
```
data_Tb2HoLu
_space_group_name_H-M_alt 'R -3 m'
_space_group_IT_number 166
_space_group_name_Hall '-R 3 2"'
_cell_length_a 3.5224
_cell_length_b 3.5224
_cell_length_c 34.3322
_cell_angle_alpha 90.00
_cell_angle_beta 90.00
_cell_angle_gamma 120.00
loop_
_atom_site_label
_atom_site_type_symbol
_atom_site_fract_x
_atom_site_fract_y
_atom_site_fract_z
Tb1 Tb 0.0000 0.0000 0.2493
Ho1 Ho 0.0000 0.0000 0.0000
Lu1 Lu 0.0000 0.0000 0.5000
```